# K2PaAg2S4 (PBE-GGA, optimized geometry)
data_K2PaAg2S4
_chemical_formula_sum 'K2 Pa1 Ag2 S4'
_symmetry_space_group_name_H-M 'P 1'
_symmetry_Int_Tables_number 1
_cell_length_a 4.118
_cell_length_b 7.752
_cell_length_c 7.816
_cell_angle_alpha 110.08
_cell_angle_beta 105.27
_cell_angle_gamma 90.00
loop_
_symmetry_equiv_pos_as_xyz
'x,y,z'
loop_
_atom_site_label
_atom_site_fract_x
_atom_site_fract_y
_atom_site_fract_z
_atom_site_occupancy
S1 0.491 0.236 0.983 1
S2 0.509 0.764 0.017 1
Ag1 0.679 0.982 0.359 1
K1 0.137 0.567 0.273 1
K2 0.863 0.433 0.727 1
Ag2 0.321 0.018 0.641 1
Pa1 0.000 0.000 0.000 1
S3 0.193 0.196 0.386 1
S4 0.807 0.804 0.614 1
# Symmetry = C2/m
# Uncorrected formation energy = -9.4 eV/f.u.
# Raw total energy = -43.3 eV/cell
# Density of states at the Fermi level = 5.56 states/eV/f.u.

# KPa2AgS5 (PBE-GGA, optimized geometry)
data_KPa2AgS5
_chemical_formula_sum 'K2 Pa4 Ag2 S10'
_symmetry_space_group_name_H-M 'P 1'
_symmetry_Int_Tables_number 1
_cell_length_a 7.640
_cell_length_b 7.640
_cell_length_c 9.143
_cell_angle_alpha 114.70
_cell_angle_beta 114.70
_cell_angle_gamma 90.00
loop_
_symmetry_equiv_pos_as_xyz
'x,y,z'
loop_
_atom_site_label
_atom_site_fract_x
_atom_site_fract_y
_atom_site_fract_z
_atom_site_occupancy
S1 0.969 0.469 0.231 1
Pa1 0.660 0.160 0.000 1
S2 0.738 0.238 0.769 1
K1 0.250 0.250 0.500 1
S3 0.531 0.738 0.769 1
S4 0.000 0.000 0.000 1
Pa2 0.160 0.340 0.000 1
S5 0.762 0.969 0.231 1
Ag1 0.250 0.750 0.500 1
K2 0.750 0.750 0.500 1
S6 0.500 0.500 0.000 1
S7 0.262 0.762 0.231 1
S8 0.469 0.262 0.231 1
S9 0.031 0.531 0.769 1
Pa3 0.840 0.660 0.000 1
Ag2 0.750 0.250 0.500 1
S10 0.238 0.031 0.769 1
Pa4 0.340 0.840 0.000 1
# Symmetry = I4/mcm
# Uncorrected formation energy = -12.1 eV/f.u.
# Raw total energy = -111.3 eV/cell
# Density of states at the Fermi level = 5.04 states/eV/f.u.